First-principles (PBE) data for an optimized crystal structure of Sc2ReBi, as listed in Alexandria via LeMat-Bulk.

- uncorrected energy (eV per atom) = -6.931
- Fermi-level density of states (states/eV per atom) = 0.74
- magnetization (μB per cell) = 0.00
- formation enthalpy at 0 K (eV/atom) = 0.317

Structure (CIF):
```
data_Sc2ReBi
_space_group_name_H-M_alt 'I -4 2 d'
_space_group_IT_number 122
_space_group_name_Hall 'I -4 2bw'
_cell_length_a 7.8967
_cell_length_b 7.8967
_cell_length_c 5.8681
_cell_angle_alpha 90.00
_cell_angle_beta 90.00
_cell_angle_gamma 90.00
loop_
_atom_site_label
_atom_site_type_symbol
_atom_site_fract_x
_atom_site_fract_y
_atom_site_fract_z
Sc1 Sc 0.1880 0.7500 0.1250
Re1 Re 0.0000 0.0000 0.0000
Bi1 Bi 0.0000 0.0000 0.5000
```